Entry 1:
Material: FeAs2HSe
Method: DFT, PBE-GGA
State: relaxed

Cell: 4.451 4.451 4.832 Å, 90.00 90.00 90.00°
Fractional coordinates of all 5 atoms:
1 Fe 0.000 0.000 0.000
2 As 0.000 0.500 0.000
3 As 0.500 0.000 0.000
4 H 0.500 0.500 0.500
5 Se 0.000 0.000 0.500

Values from the calculation:
space-group type	P4/mmm, No. 123

Entry 2:
Material: VIrBr2
Method: DFT, PBE-GGA
State: relaxed

Cell: 8.536 8.536 8.536 Å, 21.48 21.48 21.48°
Fractional coordinates of all 4 atoms:
1 Ir 0.000 0.000 0.000
2 V 0.500 0.500 0.500
3 Br 0.902 0.902 0.902
4 Br 0.098 0.098 0.098

Values from the calculation:
space-group type	R-3m, No. 166
uncorrected formation energy	0.42	eV per atom

Entry 3:
Material: ZnTcNi2
Method: DFT, PBE-GGA
State: relaxed

Cell: 4.514 4.514 2.585 Å, 90.03 90.03 108.53°
Fractional coordinates of all 4 atoms:
1 Ni 0.000 0.000 0.000
2 Ni 0.500 0.500 0.000
3 Zn 0.000 0.500 0.500
4 Tc 0.500 0.000 0.500

Values from the calculation:
space-group type	Cmmm, No. 65
ΔE_f	-5	meV per atom

Entry 4:
Material: ZrTi2PtN
Method: DFT, PBE-GGA
State: relaxed

Cell: 4.114 4.114 4.445 Å, 90.00 90.00 90.00°
Fractional coordinates of all 5 atoms:
1 Pt 0.500 0.500 0.500
2 Ti 0.000 0.500 0.000
3 Ti 0.500 0.000 0.000
4 Zr 0.000 0.000 0.500
5 N 0.000 0.000 0.000

Values from the calculation:
space-group type	P4/mmm, No. 123
uncorrected formation energy	-1.17	eV per atom

Entry 5:
Material: MgBC
Method: DFT, PBE-GGA
State: relaxed

Cell: 2.800 4.677 6.415 Å, 111.16 102.32 89.96°
Fractional coordinates of all 6 atoms:
1 Mg 0.839 0.337 0.176
2 Mg 0.161 0.663 0.824
3 B 0.500 0.685 0.500
4 B 0.500 0.315 0.500
5 C 0.000 0.154 0.500
6 C 0.000 0.846 0.500

Values from the calculation:
space-group type	P-1, No. 2
ΔE_f	73	meV per atom

Entry 6:
Material: LaReSb2
Method: DFT, PBE-GGA
State: relaxed

Cell: 5.059 5.059 5.059 Å, 60.00 60.00 60.00°
Fractional coordinates of all 4 atoms:
1 Sb 0.250 0.250 0.250
2 Sb 0.750 0.750 0.750
3 La 0.000 0.000 0.000
4 Re 0.500 0.500 0.500

Values from the calculation:
space-group type	Fm-3m, No. 225
uncorrected formation energy	0.02	eV per atom

Entry 7:
Material: Pa2Cr2WC4
Method: DFT, PBE-GGA
State: relaxed

Cell: 3.075 6.939 5.541 Å, 102.01 90.00 102.80°
Fractional coordinates of all 9 atoms:
1 C 0.756 0.513 0.762
2 C 0.543 0.087 0.769
3 C 0.457 0.913 0.231
4 C 0.244 0.487 0.238
5 Pa 0.873 0.746 0.473
6 Pa 0.127 0.254 0.527
7 Cr 0.679 0.358 0.034
8 Cr 0.321 0.642 0.966
9 W 0.000 0.000 0.000

Values from the calculation:
space-group type	C2/m, No. 12
ΔE_f	-197	meV per atom

Entry 8:
Material: La2ReTe
Method: DFT, PBE-GGA
State: relaxed

Cell: 4.417 4.437 6.440 Å, 90.00 90.00 90.00°
Fractional coordinates of all 4 atoms:
1 Te 0.500 0.500 0.847
2 La 0.000 0.000 0.955
3 La 0.500 0.500 0.350
4 Re 0.000 0.000 0.348

Values from the calculation:
space-group type	Pmm2, No. 25
uncorrected formation energy	-0.21	eV per atom

Entry 9:
Material: CaCeTe2
Method: DFT, PBE-GGA
State: relaxed

Cell: 4.374 4.374 8.337 Å, 74.79 74.79 60.00°
Fractional coordinates of all 4 atoms:
1 Ca 0.497 0.497 0.509
2 Te 0.084 0.084 0.748
3 Te 0.250 0.250 0.249
4 Ce 0.669 0.669 0.994

Values from the calculation:
space-group type	R3m, No. 160
uncorrected formation energy	-1.39	eV per atom

Entry 10:
Material: Pm5Pa3N8
Method: DFT, PBE-GGA
State: relaxed

Cell: 7.135 7.135 7.136 Å, 60.00 60.00 60.00°
Fractional coordinates of all 16 atoms:
1 N 0.239 0.239 0.282
2 N 0.250 0.777 0.723
3 N 0.250 0.250 0.723
4 N 0.750 0.223 0.277
5 N 0.750 0.750 0.277
6 N 0.761 0.761 0.718
7 N 0.223 0.750 0.277
8 N 0.777 0.250 0.723
9 Pm 0.500 0.000 0.000
10 Pm 0.000 0.000 0.000
11 Pm 0.500 0.500 0.000
12 Pm 0.500 0.500 0.500
13 Pm 0.000 0.500 0.000
14 Pa 0.000 0.000 0.500
15 Pa 0.500 0.000 0.500
16 Pa 0.000 0.500 0.500

Values from the calculation:
space-group type	R-3m, No. 166
uncorrected formation energy	-1.58	eV per atom

Entry 11:
Material: PIrRu2
Method: DFT, PBE-GGA
State: relaxed

Cell: 5.345 5.345 6.619 Å, 66.19 66.19 90.00°
Fractional coordinates of all 8 atoms:
1 Ru 0.875 0.851 0.750
2 Ru 0.149 0.625 0.250
3 Ru 0.601 0.125 0.250
4 Ru 0.375 0.399 0.750
5 Ir 0.750 0.250 0.500
6 Ir 0.000 0.000 0.000
7 P 0.500 0.500 0.000
8 P 0.250 0.750 0.500

Values from the calculation:
space-group type	I-42d, No. 122
ΔE_f	454	meV per atom

Entry 12:
Material: ZrTaAg2Bi
Method: DFT, PBE-GGA
State: relaxed

Cell: 5.080 5.288 5.080 Å, 90.00 90.00 90.00°
Fractional coordinates of all 5 atoms:
1 Ag 0.000 0.000 0.500
2 Ag 0.500 0.000 0.000
3 Ta 0.000 0.000 0.000
4 Bi 0.000 0.500 0.000
5 Zr 0.500 0.500 0.500

Values from the calculation:
space-group type	P4/mmm, No. 123
ΔE_f	1186	meV per atom

Entry 13:
Material: KReSb2
Method: DFT, PBE-GGA
State: relaxed

Cell: 3.267 3.267 9.946 Å, 90.00 90.00 90.00°
Fractional coordinates of all 4 atoms:
1 K 0.000 0.000 0.525
2 Sb 0.000 0.000 0.943
3 Sb 0.500 0.500 0.229
4 Re 0.500 0.500 0.803

Values from the calculation:
space-group type	P4mm, No. 99
uncorrected formation energy	0.68	eV per atom

Entry 14:
Material: Fe2TcSb
Method: DFT, PBE-GGA
State: relaxed

Cell: 8.182 8.182 8.182 Å, 21.05 21.05 21.05°
Fractional coordinates of all 4 atoms:
1 Tc 0.743 0.743 0.743
2 Fe 0.997 0.997 0.997
3 Fe 0.257 0.257 0.257
4 Sb 0.502 0.502 0.502

Values from the calculation:
space-group type	R3m, No. 160
uncorrected formation energy	0.45	eV per atom

Entry 15:
Material: Sm8Th4Sc
Method: DFT, PBE-GGA
State: relaxed

Cell: 11.690 11.690 7.751 Å, 90.00 138.95 120.00°
Fractional coordinates of all 13 atoms:
1 Sm 0.167 0.834 0.002
2 Sm 0.503 0.251 0.754
3 Sm 0.497 0.749 0.246
4 Sm 0.833 0.667 0.998
5 Sm 0.331 0.166 0.998
6 Sm 0.833 0.166 0.998
7 Sm 0.167 0.333 0.002
8 Sm 0.669 0.834 0.002
9 Th 0.000 0.500 0.000
10 Th 0.500 0.000 0.000
11 Th 0.500 0.500 0.000
12 Th 0.000 0.000 0.000
13 Sc 0.000 0.500 0.500

Values from the calculation:
space-group type	R-3m, No. 166
ΔE_f	508	meV per atom

Entry 16:
Material: Cs10K6Rb
Method: DFT, PBE-GGA
State: relaxed

Cell: 10.105 13.895 13.895 Å, 120.00 90.00 90.00°
Fractional coordinates of all 17 atoms:
1 K 0.340 0.000 0.355
2 K 0.340 0.645 0.645
3 K 0.660 0.645 0.000
4 K 0.660 0.000 0.645
5 K 0.660 0.355 0.355
6 K 0.340 0.355 0.000
7 Rb 0.500 0.000 0.000
8 Cs 0.173 0.000 0.706
9 Cs 0.500 0.667 0.333
10 Cs 0.827 0.294 0.000
11 Cs 0.173 0.706 0.000
12 Cs 0.827 0.706 0.706
13 Cs 0.173 0.294 0.294
14 Cs 0.000 0.333 0.667
15 Cs 0.500 0.333 0.667
16 Cs 0.827 0.000 0.294
17 Cs 0.000 0.667 0.333

Values from the calculation:
space-group type	P-31m, No. 162
ΔE_f	16	meV per atom

Entry 17:
Material: Li2CrN2
Method: DFT, PBE-GGA
State: relaxed

Cell: 3.024 5.045 6.419 Å, 90.00 90.00 107.44°
Fractional coordinates of all 10 atoms:
1 N 0.298 0.597 0.147
2 N 0.000 0.000 0.397
3 N 0.000 0.000 0.897
4 N 0.702 0.403 0.647
5 Cr 0.090 0.180 0.647
6 Cr 0.910 0.820 0.147
7 Li 0.644 0.289 0.331
8 Li 0.356 0.711 0.831
9 Li 0.356 0.711 0.463
10 Li 0.644 0.289 0.963

Values from the calculation:
space-group type	Cmcm, No. 63
uncorrected formation energy	-0.59	eV per atom

Entry 18:
Material: NdVC
Method: DFT, PBE-GGA
State: relaxed

Cell: 5.676 3.234 3.234 Å, 120.00 90.00 90.00°
Fractional coordinates of all 3 atoms:
1 V 0.199 0.000 0.000
2 Nd 0.738 0.667 0.333
3 C 0.064 0.333 0.667

Values from the calculation:
space-group type	P3m1, No. 156
ΔE_f	93	meV per atom

Entry 19:
Material: Li2TcPt
Method: DFT, PBE-GGA
State: relaxed

Cell: 5.029 5.029 2.587 Å, 90.00 90.00 118.34°
Fractional coordinates of all 4 atoms:
1 Tc 0.000 0.500 0.500
2 Li 0.000 0.000 0.000
3 Li 0.500 0.500 0.000
4 Pt 0.500 0.000 0.500

Values from the calculation:
space-group type	Cmmm, No. 65
ΔE_f	33	meV per atom

Entry 20:
Material: Li2InBi
Method: DFT, PBE-GGA
State: relaxed

Cell: 3.390 3.390 9.546 Å, 79.96 79.96 60.10°
Fractional coordinates of all 4 atoms:
1 In 0.501 0.501 0.500
2 Li 0.084 0.084 0.748
3 Li 0.250 0.250 0.251
4 Bi 0.666 0.666 0.001

Values from the calculation:
space-group type	Cm, No. 8
ΔE_f	-249	meV per atom

Entry 21:
Material: La15Sm4Ho
Method: DFT, PBE-GGA
State: relaxed

Cell: 5.228 5.228 26.196 Å, 90.00 90.00 90.00°
Fractional coordinates of all 20 atoms:
1 La 0.500 0.500 0.199
2 La 0.500 0.500 0.000
3 La 0.000 0.500 0.701
4 La 0.500 0.500 0.400
5 La 0.500 0.000 0.099
6 La 0.500 0.500 0.600
7 La 0.000 0.500 0.299
8 La 0.000 0.500 0.901
9 La 0.500 0.000 0.901
10 La 0.000 0.500 0.500
11 La 0.500 0.000 0.701
12 La 0.500 0.000 0.500
13 La 0.000 0.500 0.099
14 La 0.500 0.000 0.299
15 La 0.500 0.500 0.801
16 Sm 0.000 0.000 0.400
17 Sm 0.000 0.000 0.801
18 Sm 0.000 0.000 0.600
19 Sm 0.000 0.000 0.199
20 Ho 0.000 0.000 0.000

Values from the calculation:
space-group type	P4/mmm, No. 123
ΔE_f	11	meV per atom

Entry 22:
Material: Be5Cu
Method: DFT, PBE-GGA
State: relaxed

Cell: 5.135 5.135 3.243 Å, 90.00 90.00 142.96°
Fractional coordinates of all 6 atoms:
1 Be 0.643 0.357 0.000
2 Be 0.302 0.698 0.000
3 Be 0.801 0.199 0.500
4 Be 0.472 0.528 0.500
5 Be 0.144 0.856 0.500
6 Cu 0.972 0.028 0.000

Values from the calculation:
space-group type	Cmmm, No. 65
ΔE_f	-26	meV per atom

Entry 23:
Material: LiAlO2
Method: DFT, PBE-GGA
State: relaxed

Cell: 3.899 3.899 30.283 Å, 112.72 112.72 90.00°
Fractional coordinates of all 48 atoms:
1 O 0.901 0.650 0.634
2 O 0.650 0.900 0.217
3 O 0.102 0.352 0.867
4 O 0.101 0.351 0.200
5 O 0.651 0.901 0.550
6 O 0.402 0.152 0.134
7 O 0.375 0.125 0.292
8 O 0.648 0.898 0.383
9 O 0.099 0.349 0.533
10 O 0.375 0.125 0.958
11 O 0.651 0.901 0.717
12 O 0.848 0.598 0.116
13 O 0.902 0.652 0.801
14 O 0.349 0.099 0.783
15 O 0.099 0.349 0.700
16 O 0.901 0.651 0.467
17 O 0.099 0.349 0.366
18 O 0.875 0.625 0.958
19 O 0.348 0.098 0.449
20 O 0.099 0.349 0.033
21 O 0.875 0.625 0.292
22 O 0.350 0.100 0.617
23 O 0.651 0.901 0.884
24 O 0.648 0.898 0.049
25 Al 0.875 0.125 0.125
26 Al 0.627 0.377 0.042
27 Al 0.125 0.875 0.708
28 Al 0.125 0.875 0.542
29 Al 0.875 0.125 0.958
30 Al 0.127 0.877 0.376
31 Al 0.875 0.125 0.292
32 Al 0.875 0.125 0.625
33 Al 0.876 0.126 0.792
34 Al 0.874 0.124 0.458
35 Al 0.623 0.373 0.208
36 Al 0.123 0.873 0.874
37 Li 0.375 0.625 0.958
38 Li 0.143 0.893 0.214
39 Li 0.643 0.393 0.881
40 Li 0.377 0.627 0.792
41 Li 0.375 0.625 0.625
42 Li 0.627 0.377 0.542
43 Li 0.373 0.623 0.458
44 Li 0.607 0.357 0.369
45 Li 0.107 0.857 0.036
46 Li 0.624 0.373 0.708
47 Li 0.375 0.625 0.292
48 Li 0.374 0.625 0.125

Values from the calculation:
space-group type	P-4m2, No. 115
uncorrected formation energy	-2.64	eV per atom

| no. | VASP energy (eV/f.u.) | magnetic moment (μB/atom) |
| --- | --- | --- |
| 1 | -20.56 | 0.000 |
| 2 | -19.63 | 0.098 |
| 3 | -23.22 | 0.001 |
| 4 | -44.55 | 0.000 |
| 5 | -17.28 | 0.000 |
| 6 | -25.56 | 0.000 |
| 7 | -89.86 | 0.000 |
| 8 | -26.30 | 0.223 |
| 9 | -19.76 | 0.384 |
| 10 | -144.12 | 0.000 |
| 11 | -31.01 | 0.000 |
| 12 | -24.05 | 0.000 |
| 13 | -19.09 | 0.000 |
| 14 | -29.62 | 1.179 |
| 15 | -67.16 | 0.000 |
| 16 | -15.82 | 0.000 |
| 17 | -33.06 | 0.000 |
| 18 | -22.83 | 0.000 |
| 19 | -20.10 | 0.000 |
| 20 | -11.44 | 0.000 |
| 21 | -97.15 | 0.000 |
| 22 | -22.88 | 0.000 |
| 23 | -26.15 | 0.000 |